No. 1
Below is a relaxed structure of Os2SeBr, with properties calculated at the GGA-PBE level.

DOS(E_F), states/eV/f.u.: 3.6
Offset from the most stable computed form, meV per atom: 943
VASP energy, eV/atom: -5.57
Crystal system: cubic
Formation energy (no corrections), eV/atom: 1.33
V, Å³/cell: 256.1

abc: 6.3504 6.3504 6.3504
angles: 90.00 90.00 90.00
Last column: nearest neighbours and their distance in Å.
Space group Fm-3m (No. 225)
Symmetry-distinct sites (fractional):
Os  0.2500  0.2500  0.2500 (multiplicity 8)  4 Se 2.75, 4 Br 2.75
Se  0.0000  0.0000  0.0000 (multiplicity 4)  8 Os 2.75
Br  0.0000  0.0000  0.5000 (multiplicity 4)  8 Os 2.75


No. 2
Below is a relaxed structure of Os2SeBr, with properties calculated at the GGA-PBE level.

DOS(E_F), states/eV/f.u.: 4.4
Offset from the most stable computed form, meV per atom: 970
VASP energy, eV/atom: -5.54
Crystal system: orthorhombic
Formation energy (no corrections), eV/atom: 1.36
V, Å³/cell: 67.1

abc: 2.8784 4.4223 5.2723
angles: 90.00 90.00 90.00
Last column: nearest neighbours and their distance in Å.
Space group Pmmm (No. 47)
Symmetry-distinct sites (fractional):
Os  0.0000  0.0000  0.0000 (multiplicity 1)  4 Br 2.64, 2 Os 2.88
Os  0.5000  0.0000  0.5000 (multiplicity 1)  4 Se 2.64, 2 Os 2.88
Se  0.0000  0.5000  0.5000 (multiplicity 1)  4 Os 2.64, 2 Se 2.88
Br  0.5000  0.5000  0.0000 (multiplicity 1)  4 Os 2.64, 2 Br 2.88


No. 3
Below is a relaxed structure of OsSeBr2, with properties calculated at the GGA-PBE level.

DOS(E_F), states/eV/f.u.: 4.1
Offset from the most stable computed form, meV per atom: 665
VASP energy, eV/atom: -3.78
Crystal system: trigonal
Formation energy (no corrections), eV/atom: 0.74
V, Å³/cell: 349.2

abc: 3.6724 3.6724 29.9008
angles: 90.00 90.00 120.00
Last column: nearest neighbours and their distance in Å.
Space group R-3m (No. 166, hexagonal axes)
Symmetry-distinct sites (fractional):
Os  0.0000  0.0000  0.0000 (multiplicity 3)  6 Br 2.52
Se  0.0000  0.0000  0.5000 (multiplicity 3)  2 Br 3.63, 6 Se 3.67
Br  0.0000  0.0000  0.3786 (multiplicity 6)  3 Os 2.52


No. 4
Below is a relaxed structure of OsSeBr2, with properties calculated at the GGA-PBE level.

DOS(E_F), states/eV/f.u.: 0.9
Offset from the most stable computed form, meV per atom: 45
VASP energy, eV/atom: -4.40
Crystal system: monoclinic
Formation energy (no corrections), eV/atom: 0.12
V, Å³/cell: 124.5

abc: 4.6828 3.8616 7.2679
angles: 90.00 108.73 90.00
Last column: nearest neighbours and their distance in Å.
Space group P2/m (No. 10)
Symmetry-distinct sites (fractional):
Os  0.0000  0.0000  0.0000 (multiplicity 1)  2 Se 2.34, 4 Br 2.58
Se  0.5000  0.0000  0.0000 (multiplicity 1)  2 Os 2.34
Br  0.1239  0.5000  0.2490 (multiplicity 2)  2 Os 2.58


No. 5
Below is a relaxed structure of Os2SeBr, with properties calculated at the GGA-PBE level.

DOS(E_F), states/eV/f.u.: 3.4
Offset from the most stable computed form, meV per atom: 203
VASP energy, eV/atom: -6.31
Crystal system: trigonal
Formation energy (no corrections), eV/atom: 0.60
V, Å³/cell: 223.9

abc: 2.9899 2.9899 28.9246
angles: 90.00 90.00 120.00
Last column: nearest neighbours and their distance in Å.
Space group R3m (No. 160, hexagonal axes)
Symmetry-distinct sites (fractional):
Os  0.0000  0.0000  0.0000 (multiplicity 3)  3 Se 2.56, 3 Os 2.67
Os  0.0000  0.0000  0.2628 (multiplicity 3)  9 Os 2.67-2.99, 3 Br 2.74
Se  0.0000  0.0000  0.7320 (multiplicity 3)  3 Os 2.56
Br  0.0000  0.0000  0.5226 (multiplicity 3)  3 Os 2.74, 6 Br 2.99


No. 6
Below is a relaxed structure of OsSe2Br, with properties calculated at the GGA-PBE level.

DOS(E_F), states/eV/f.u.: 3.6
Offset from the most stable computed form, meV per atom: 1145
VASP energy, eV/atom: -3.79
Crystal system: tetragonal
Formation energy (no corrections), eV/atom: 1.18
V, Å³/cell: 145.9

abc: 4.5333 4.5333 7.0977
angles: 90.00 90.00 90.00
Last column: nearest neighbours and their distance in Å.
Space group I-4m2 (No. 119)
Symmetry-distinct sites (fractional):
Os  0.0000  0.0000  0.0000 (multiplicity 2)  8 Se 2.88-3.21, 4 Br 2.88
Se  0.0000  0.0000  0.5000 (multiplicity 2)  4 Se 2.88, 4 Br 2.88, 4 Os 3.21
Se  0.0000  0.5000  0.7500 (multiplicity 2)  4 Se 2.88, 4 Os 2.88, 4 Br 3.21
Br  0.0000  0.5000  0.2500 (multiplicity 2)  8 Se 2.88-3.21, 4 Os 2.88


No. 7
Below is a relaxed structure of OsSeBr2, with properties calculated at the GGA-PBE level.

Offset from the most stable computed form, meV per atom: 0
VASP energy, eV/atom: -4.44
Crystal system: monoclinic
Formation energy (no corrections), eV/atom: 0.07
V, Å³/cell: 206.0

abc: 6.5867 3.8019 8.2273
angles: 90.00 90.71 90.00
Last column: nearest neighbours and their distance in Å.
Space group Cm (No. 8)
Symmetry-distinct sites (fractional):
Os  0.0000  0.0000  0.0000 (multiplicity 2)  3 Se 2.42, 3 Br 2.67
Se  0.3352  0.0000  0.1234 (multiplicity 2)  3 Os 2.42, 1 Br 2.45
Br  0.1638  0.5000  0.8162 (multiplicity 2)  3 Os 2.67
Br  0.3406  0.0000  0.4207 (multiplicity 2)  1 Se 2.45


No. 8
Below is a relaxed structure of OsSe2Br, with properties calculated at the GGA-PBE level.

DOS(E_F), states/eV/f.u.: 5.1
Offset from the most stable computed form, meV per atom: 648
VASP energy, eV/atom: -4.29
Crystal system: orthorhombic
Formation energy (no corrections), eV/atom: 0.68
V, Å³/cell: 177.2

abc: 2.9327 5.3758 11.2402
angles: 90.00 90.00 90.00
Last column: nearest neighbours and their distance in Å.
Space group Cmm2 (No. 35)
Symmetry-distinct sites (fractional):
Os  0.0000  0.0000  0.0000 (multiplicity 2)  2 Se 2.45, 2 Br 2.64
Se  0.0000  0.0000  0.5219 (multiplicity 2)  6 Se 2.93-3.06
Se  0.0000  0.5000  0.8255 (multiplicity 2)  2 Os 2.45
Br  0.0000  0.5000  0.1955 (multiplicity 2)  2 Os 2.64, 2 Br 2.93


No. 9
Below is a relaxed structure of OsSeBr2, with properties calculated at the GGA-PBE level.

DOS(E_F), states/eV/f.u.: 2.8
Offset from the most stable computed form, meV per atom: 139
VASP energy, eV/atom: -4.31
Crystal system: trigonal
Formation energy (no corrections), eV/atom: 0.21
V, Å³/cell: 293.1

abc: 3.7001 3.7001 24.7165
angles: 90.00 90.00 120.00
Last column: nearest neighbours and their distance in Å.
Space group R3m (No. 160, hexagonal axes)
Symmetry-distinct sites (fractional):
Os  0.0000  0.0000  0.0000 (multiplicity 3)  3 Se 2.41, 3 Br 2.66
Se  0.0000  0.0000  0.7122 (multiplicity 3)  3 Os 2.41
Br  0.0000  0.0000  0.2695 (multiplicity 3)  3 Os 2.66
Br  0.0000  0.0000  0.4805 (multiplicity 3)  3 Se 3.30


No. 10
Below is a relaxed structure of OsSe4Br, with properties calculated at the GGA-PBE level.

Offset from the most stable computed form, meV per atom: 0
VASP energy, eV/atom: -4.45
Crystal system: triclinic
Formation energy (no corrections), eV/atom: 0.02
V, Å³/cell: 357.9

abc: 6.8265 7.2169 8.0236
angles: 70.36 77.63 76.42
Last column: nearest neighbours and their distance in Å.
Space group P-1 (No. 2)
Symmetry-distinct sites (fractional):
Os  0.2490  0.4976  0.4976 (multiplicity 2)  8 Se 2.54-2.60
Se  0.0015  0.7140  0.2812 (multiplicity 2)  2 Os 2.55, 2 Se 2.68-2.70
Se  0.0761  0.3137  0.3673 (multiplicity 2)  2 Os 2.54-2.55, 2 Se 2.68-2.70
Se  0.4448  0.4483  0.7585 (multiplicity 2)  1 Se 2.40, 2 Os 2.60
Se  0.4496  0.7875  0.4081 (multiplicity 2)  1 Se 2.40, 2 Os 2.58-2.59
Br  0.3334  0.8002  0.8574 (multiplicity 2)  1 Se 2.80


No. 11
Below is a relaxed structure of OsSe3Br, with properties calculated at the GGA-PBE level.

DOS(E_F), states/eV/f.u.: 5.4
Offset from the most stable computed form, meV per atom: 554
VASP energy, eV/atom: -4.12
Crystal system: cubic
Formation energy (no corrections), eV/atom: 0.56
V, Å³/cell: 118.6

abc: 4.9133 4.9133 4.9133
angles: 90.00 90.00 90.00
Last column: nearest neighbours and their distance in Å.
Space group Pm-3m (No. 221)
Symmetry-distinct sites (fractional):
Os  0.0000  0.0000  0.0000 (multiplicity 1)  6 Se 2.46
Se  0.0000  0.0000  0.5000 (multiplicity 3)  2 Os 2.46
Br  0.5000  0.5000  0.5000 (multiplicity 1)  12 Se 3.47


No. 12
Below is a relaxed structure of OsSeBr2, with properties calculated at the GGA-PBE level.

DOS(E_F), states/eV/f.u.: 2.3
Offset from the most stable computed form, meV per atom: 404
VASP energy, eV/atom: -4.04
Crystal system: orthorhombic
Formation energy (no corrections), eV/atom: 0.48
V, Å³/cell: 207.2

abc: 3.1120 4.5640 14.5889
angles: 90.00 90.00 90.00
Last column: nearest neighbours and their distance in Å.
Space group Immm (No. 71)
Symmetry-distinct sites (fractional):
Os  0.0000  0.0000  0.0000 (multiplicity 2)  4 Br 2.59, 4 Se 2.76
Se  0.0000  0.0000  0.5000 (multiplicity 2)  4 Os 2.76, 4 Br 3.08
Br  0.0000  0.5000  0.3578 (multiplicity 4)  2 Os 2.59